Compound: SrAl2Rh
Source: Alexandria
Functional: GGA-PBEsol
Structure: relaxed

a b c (Å): 4.4791 4.9944 4.9944
angles (deg): 66.64 63.36 63.36
Fractional positions:
Rh 0.4152 0.5848 0.5848
Sr 0.2474 0.2526 0.2526
Al 0.0589 0.9411 0.9411
Al 0.7785 0.7215 0.7215

Calculated values
energy of formation from the pure elements = -0.38 eV per formula unit
size of the total moment = 0.0001 μB per atom